The following is a DFT calculation (PBE with a Hubbard U) of a relaxed structure of Mn3VSb2P6O24.

Output
Uncorrected energy (eV per atom): -7.209
DOS at the Fermi energy (states/eV/f.u.): 4.4
Total magnetization (μB/cell): 14.00

```
Mn3VSb2P6O24
1.0
-2.3645 -0.6694 -8.6315
0.8879 -7.6666 -4.0486
-7.0579 -4.6594 -2.1052
Mn V Sb P O
3 1 2 6 24
direct
0.0334 0.6555 0.6555
0.4737 0.8421 0.8421
0.9390 0.3537 0.3537
0.5640 0.1453 0.1453
0.0506 0.9831 0.9831
0.4762 0.5079 0.5079
0.2507 0.2478 0.5357
0.2507 0.9657 0.2478
0.2507 0.5357 0.9657
0.7489 0.4477 0.0532
0.7489 0.0532 0.7502
0.7489 0.7502 0.4477
0.0738 0.1106 0.3086
0.0738 0.5070 0.1106
0.0738 0.3086 0.5070
0.2438 0.0835 0.7344
0.4201 0.1729 0.3907
0.2710 0.4109 0.5470
0.2438 0.9383 0.0835
0.2710 0.7712 0.4109
0.5793 0.6161 0.0271
0.2710 0.5470 0.7712
0.7240 0.2620 0.0988
0.5793 0.0271 0.7774
0.4201 0.0163 0.1729
0.2438 0.7344 0.9383
0.7543 0.4331 0.2369
0.4201 0.3907 0.0163
0.7543 0.2369 0.5758
0.7240 0.0988 0.9151
0.7543 0.5758 0.4331
0.5793 0.7774 0.6161
0.7240 0.9151 0.2620
0.9217 0.7298 0.4585
0.9217 0.4585 0.8900
0.9217 0.8900 0.7298
```